Zn3NiPd2 PBE relaxed; DFT total energy = -3.744 eV/atom; ΔE_f = -0.413 eV per atom; D(E_F) = 6.92 states/eV/cell; E above lowest polymorph = 31.0 meV per atom
1.0
4.256 0.000 0.000
-2.128 3.686 0.000
0.000 0.000 10.567
Zn Ni Pd
6 2 4
Cartesian
0.000 2.457 4.410
2.128 1.229 0.941
0.000 0.000 7.866
0.000 0.000 2.701
0.000 2.457 9.626
2.128 1.229 6.157
0.000 2.457 7.028
2.128 1.229 3.539
0.000 0.000 5.284
0.000 2.457 1.800
2.128 1.229 8.767
0.000 0.000 0.000